1.
# KMn2Au | Alexandria | GGA-PBE | relaxed
# - Total magnetic moment: 8.61 μB/f.u.
# - Fermi-level density of states: 0.898 states/eV per atom
# - Space-group type: No. 166
# - Total energy: -4.9942 eV per atom
data_KMn2Au
_symmetry_space_group_name_H-M 'P 1'
_symmetry_Int_Tables_number 1
_cell_length_a 10.333
_cell_length_b 10.333
_cell_length_c 10.333
_cell_angle_alpha 18.03
_cell_angle_beta 18.03
_cell_angle_gamma 18.03
loop_
_symmetry_equiv_pos_as_xyz
'x,y,z'
loop_
_atom_site_label
_atom_site_fract_x
_atom_site_fract_y
_atom_site_fract_z
_atom_site_occupancy
Au1 0.250 0.250 0.250 1
Mn1 0.518 0.518 0.518 1
Mn2 0.982 0.982 0.982 1
K1 0.750 0.750 0.750 1


2.
# ZrTiSi | Alexandria | GGA-PBE | relaxed
# - Total magnetic moment: 0.00 μB/f.u.
# - Fermi-level density of states: 0.640 states/eV per atom
# - Raw formation energy: -15.7 kcal/mol of atoms
# - Space-group type: No. 46
# - Total energy: -7.9697 eV per atom
data_ZrTiSi
_symmetry_space_group_name_H-M 'P 1'
_symmetry_Int_Tables_number 1
_cell_length_a 5.132
_cell_length_b 6.423
_cell_length_c 6.398
_cell_angle_alpha 90.00
_cell_angle_beta 90.00
_cell_angle_gamma 90.00
loop_
_symmetry_equiv_pos_as_xyz
'x,y,z'
loop_
_atom_site_label
_atom_site_fract_x
_atom_site_fract_y
_atom_site_fract_z
_atom_site_occupancy
Zr1 0.750 0.348 0.587 1
Ti1 0.750 0.660 0.899 1
Zr2 0.250 0.652 0.587 1
Si1 0.500 0.500 0.234 1
Zr3 0.250 0.848 0.087 1
Si2 0.000 0.000 0.734 1
Ti2 0.250 0.160 0.399 1
Zr4 0.750 0.152 0.087 1
Si3 0.500 0.000 0.734 1
Ti3 0.250 0.340 0.899 1
Si4 0.000 0.500 0.234 1
Ti4 0.750 0.840 0.399 1


3.
# Ca2Np2N5 | Alexandria | GGA-PBE | relaxed
# - Total magnetic moment: 3.00 μB/f.u.
# - Fermi-level density of states: 0.578 states/eV per atom
# - Raw formation energy: -23.1 kcal/mol of atoms
# - Space-group type: No. 46
# - Total energy: -8.9481 eV per atom
data_Ca2Np2N5
_symmetry_space_group_name_H-M 'P 1'
_symmetry_Int_Tables_number 1
_cell_length_a 5.817
_cell_length_b 5.797
_cell_length_c 9.370
_cell_angle_alpha 108.02
_cell_angle_beta 108.08
_cell_angle_gamma 90.00
loop_
_symmetry_equiv_pos_as_xyz
'x,y,z'
loop_
_atom_site_label
_atom_site_fract_x
_atom_site_fract_y
_atom_site_fract_z
_atom_site_occupancy
Ca1 0.609 0.088 0.226 1
Np1 0.500 0.490 0.000 1
N1 0.425 0.375 0.733 1
N2 0.866 0.133 0.500 1
Np2 0.228 0.263 0.500 1
N3 0.768 0.257 0.034 1
Ca2 0.118 0.588 0.226 1
Np3 0.772 0.763 0.500 1
Ca3 0.391 0.862 0.774 1
N4 0.766 0.757 0.034 1
Ca4 0.882 0.362 0.774 1
N5 0.134 0.633 0.500 1
Np4 0.000 0.990 0.000 1
N6 0.808 0.875 0.733 1
N7 0.232 0.224 0.966 1
N8 0.192 0.142 0.267 1
N9 0.234 0.724 0.966 1
N10 0.575 0.642 0.267 1


4.
# Rb2Tl3Te3 | Alexandria | GGA-PBE | relaxed
# - Total magnetic moment: 0.00 μB/f.u.
# - Fermi-level density of states: 0.467 states/eV per atom
# - Raw formation energy: -11.7 kcal/mol of atoms
# - Space-group type: No. 63
# - Total energy: -2.8157 eV per atom
data_Rb2Tl3Te3
_symmetry_space_group_name_H-M 'P 1'
_symmetry_Int_Tables_number 1
_cell_length_a 4.652
_cell_length_b 8.483
_cell_length_c 17.676
_cell_angle_alpha 90.00
_cell_angle_beta 90.00
_cell_angle_gamma 105.92
loop_
_symmetry_equiv_pos_as_xyz
'x,y,z'
loop_
_atom_site_label
_atom_site_fract_x
_atom_site_fract_y
_atom_site_fract_z
_atom_site_occupancy
Te1 0.150 0.300 0.596 1
Te2 0.549 0.098 0.250 1
Te3 0.150 0.300 0.904 1
Tl1 0.352 0.705 0.250 1
Tl2 0.473 0.946 0.414 1
Tl3 0.527 0.054 0.586 1
Tl4 0.648 0.295 0.750 1
Rb1 0.169 0.337 0.386 1
Rb2 0.831 0.663 0.886 1
Te4 0.451 0.902 0.750 1
Rb3 0.169 0.337 0.114 1
Tl5 0.473 0.946 0.086 1
Tl6 0.527 0.054 0.914 1
Te5 0.850 0.700 0.404 1
Te6 0.850 0.700 0.096 1
Rb4 0.831 0.663 0.614 1


5.
# Zr2TcP | Alexandria | GGA-PBE | relaxed
# - Total magnetic moment: 0.00 μB/f.u.
# - Fermi-level density of states: 0.623 states/eV per atom
# - Space-group type: No. 166
# - Total energy: -8.7782 eV per atom
data_Zr2TcP
_symmetry_space_group_name_H-M 'P 1'
_symmetry_Int_Tables_number 1
_cell_length_a 7.548
_cell_length_b 7.548
_cell_length_c 7.548
_cell_angle_alpha 26.51
_cell_angle_beta 26.51
_cell_angle_gamma 26.51
loop_
_symmetry_equiv_pos_as_xyz
'x,y,z'
loop_
_atom_site_label
_atom_site_fract_x
_atom_site_fract_y
_atom_site_fract_z
_atom_site_occupancy
Zr1 0.244 0.244 0.244 1
Tc1 0.000 0.000 0.000 1
P1 0.500 0.500 0.500 1
Zr2 0.756 0.756 0.756 1


6.
# Ta5Al | Alexandria | GGA-PBE | relaxed
# - Total magnetic moment: 0.00 μB/f.u.
# - Fermi-level density of states: 1.347 states/eV per atom
# - Space-group type: No. 189
# - Total energy: -10.3915 eV per atom
data_Ta5Al
_symmetry_space_group_name_H-M 'P 1'
_symmetry_Int_Tables_number 1
_cell_length_a 5.058
_cell_length_b 5.058
_cell_length_c 4.916
_cell_angle_alpha 90.00
_cell_angle_beta 90.00
_cell_angle_gamma 120.00
loop_
_symmetry_equiv_pos_as_xyz
'x,y,z'
loop_
_atom_site_label
_atom_site_fract_x
_atom_site_fract_y
_atom_site_fract_z
_atom_site_occupancy
Ta1 0.667 0.333 0.500 1
Al1 0.000 0.000 0.500 1
Ta2 0.000 0.666 0.000 1
Ta3 0.333 0.667 0.500 1
Ta4 0.666 0.000 0.000 1
Ta5 0.334 0.334 0.000 1


Quick rundown of calculated volume, same order as above: 23.06; 17.57; 15.78; 41.93; 18.88; 18.15 A^3/atom